Material: Er2ZrNbN4
Method: DFT, GGA-PBE
State: optimized geometry

Cell: 3.2779 5.6890 5.7534 Å, 109.27 90.00 90.00°
Fractional coordinates of all 8 atoms:
1 Nb 0.0000 0.0000 0.0000
2 Er 0.5000 0.0000 0.5000
3 N 0.5000 0.7576 0.7649
4 N 0.0000 0.2533 0.7629
5 Zr 0.5000 0.5000 0.0000
6 Er 0.0000 0.5000 0.5000
7 N 0.0000 0.7467 0.2371
8 N 0.5000 0.2424 0.2351

Properties
ΔE_f (raw) = -1.57 eV per atom
Total moment = 0.00 μB per formula unit
N(E_F) = 2.14 states/eV/f.u.
Total energy = -73.64 eV per formula unit